Entry 1:
The following is a GGA-PBE calculation of a relaxed structure of Mn2TlAu2, from Alexandria.

Its formation energy is 95 meV/atom. As for the crystal system: tetragonal. The relative energy among the computed polymorphs comes out at 0 meV per atom.

It has space group P4/mbm (No. 127), with a = 7.735 Å, b = 7.735 Å, c = 3.161 Å, α = 90.00°, β = 90.00° and γ = 90.00°. The asymmetric unit holds Mn at (0.160, 0.340, 0.000), Tl at (0.000, 0.000, 0.500) and Au at (0.134, 0.634, 0.500).

---

Entry 2:
The following is a GGA-PBE calculation of a relaxed structure of HgIF6, from Alexandria.

As for the crystal system: monoclinic. Its total DFT energy (no corrections) is -48.1 eV for the cell shown.

It has space group C2/m (No. 12), with a = 6.383 Å, b = 8.844 Å, c = 5.651 Å, α = 90.00°, β = 94.90° and γ = 90.00°. The asymmetric unit holds Hg at (0.000, 0.000, 0.000), I at (0.000, 0.500, 0.500), F at (0.149, 0.344, 0.706) and F at (0.242, 0.500, 0.282).

---

Entry 3:
The following is a GGA-PBE calculation of a relaxed structure of CrTcCl2, from Alexandria.

As for the crystal system: trigonal. The relative energy among the computed polymorphs comes out at 518 meV per atom.

It has space group R-3m (No. 166, hexagonal axes), with a = 2.9820 Å, b = 2.9820 Å, c = 23.4343 Å, α = 90.00°, β = 90.00° and γ = 120.00°. The asymmetric unit holds Cr at (0.0000, 0.0000, 0.0000), Tc at (0.0000, 0.0000, 0.5000) and Cl at (0.0000, 0.0000, 0.4016).